Entry 1:
Entry from Alexandria: an optimized crystal structure of TaAsHBr2 (PBEsol).

a b c (Å): 5.109 5.109 4.952
angles (deg): 90.00 90.00 90.00
Atoms (fractional coordinates):
Ta 0.000 0.000 0.000
As 0.000 0.000 0.500
H 0.500 0.500 0.500
Br 0.000 0.500 0.000
Br 0.500 0.000 0.000

## Properties
* electronic total energy: -22.6 eV per formula unit


Entry 2:
Entry from Alexandria: an optimized crystal structure of NaSr3Sb (PBEsol).

a b c (Å): 6.026 6.026 6.026
angles (deg): 90.00 90.00 90.00
Atoms (fractional coordinates):
Na 0.000 0.000 0.000
Sr 0.000 0.000 0.500
Sr 0.000 0.500 0.000
Sr 0.500 0.000 0.000
Sb 0.500 0.500 0.500

## Properties
* E_form (uncorrected): 1.3 eV per formula unit


Entry 3:
Entry from Alexandria: an optimized crystal structure of AlRe3C (PBEsol).

a b c (Å): 4.051 4.051 4.051
angles (deg): 90.00 90.00 90.00
Atoms (fractional coordinates):
Al 0.000 0.000 0.000
Re 0.000 0.500 0.500
Re 0.500 0.000 0.500
Re 0.500 0.500 0.000
C 0.500 0.500 0.500

## Properties
* energy of formation: 223 meV/atom


Entry 4:
Entry from Alexandria: an optimized crystal structure of Ta2HgWC (PBEsol).

a b c (Å): 4.261 4.261 4.319
angles (deg): 90.00 90.00 90.00
Atoms (fractional coordinates):
Ta 0.000 0.500 0.000
Ta 0.500 0.000 0.000
Hg 0.000 0.000 0.500
W 0.500 0.500 0.500
C 0.000 0.000 0.000

## Properties
* energy of formation: 584 meV/atom


Entry 5:
Entry from Alexandria: an optimized crystal structure of LiFeSb2 (PBEsol).

a b c (Å): 4.157 5.214 5.214
angles (deg): 38.47 90.00 90.00
Atoms (fractional coordinates):
Li 0.000 0.000 0.000
Fe 0.500 0.842 0.842
Sb 0.000 0.275 0.275
Sb 0.500 0.550 0.550

## Properties
* energy relative to the lowest polymorph listed for this composition: 0.000 eV per atom
* E_form (uncorrected): 0.0 eV per formula unit


Entry 6:
Entry from Alexandria: an optimized crystal structure of Mg2MnCl (PBEsol).

a b c (Å): 5.771 5.771 5.771
angles (deg): 149.13 128.16 61.57
Atoms (fractional coordinates):
Mg 0.000 0.000 0.000
Mg 0.707 0.207 0.500
Mn 0.466 0.466 0.000
Cl 0.271 0.771 0.500

## Properties
* energy relative to the lowest polymorph listed for this composition: 0.000 eV per atom
* E_form (uncorrected): -0.1 eV per formula unit


Entry 7:
Entry from Alexandria: an optimized crystal structure of BaTiN2 (PBEsol).

a b c (Å): 5.744 5.744 5.744
angles (deg): 119.65 119.65 90.61
Atoms (fractional coordinates):
Ba 0.000 0.000 0.000
Ba 0.750 0.250 0.500
Ti 0.250 0.750 0.500
Ti 0.500 0.500 0.000
N 0.244 0.125 0.618
N 0.375 0.756 0.882
N 0.506 0.625 0.382
N 0.875 0.494 0.118

## Properties
* E_form (uncorrected): -5.3 eV per formula unit


Entry 8:
Entry from Alexandria: an optimized crystal structure of TaW (PBEsol).

a b c (Å): 4.530 4.530 4.530
angles (deg): 60.00 60.00 60.00
Atoms (fractional coordinates):
Ta 0.125 0.125 0.125
Ta 0.875 0.875 0.875
W 0.375 0.375 0.375
W 0.625 0.625 0.625

## Properties
* energy of formation: -73 meV/atom


The evaluated total magnetic moment for the records listed, in turn: 0.804; 0.000; 0.000; 0.000; 1.810; 3.483; 0.000; 0.000 μB per cell.